Entry 1:
## RbLaCuNi2 (PBE-GGA)

Data for a relaxed RbLaCuNi2 crystal.

## Properties
The formation energy comes out at 1.22 eV/atom. Its raw total energy is -15.5 eV for the cell shown. As for the density of states at the Fermi level: 4.6 states/eV per cell.

Cell lengths 4.9032, 4.9032, 6.9129 Å; angles 90.00, 90.00, 90.00 degrees
Atoms (fractional coordinates):
Ni: 0.0000 0.5000 0.0000
Ni: 0.5000 0.0000 0.0000
Cu: 0.5000 0.5000 0.5000
Rb: 0.0000 0.0000 0.5000
La: 0.0000 0.0000 0.0000

Entry 2:
## La2CuNi4Sb3 (PBE-GGA)

Data for a relaxed La2CuNi4Sb3 crystal.

## Properties
Its raw total energy is -55.8 eV for the cell shown. The value obtained for the uncorrected formation energy is -6.33 eV per formula unit. As for the density of states at the Fermi level: 6.4 states/eV per cell.

Cell lengths 4.3994, 4.3994, 10.0330 Å; angles 90.00, 90.00, 90.00 degrees
Atoms (fractional coordinates):
La: 0.5000 0.0000 0.2487
La: 0.0000 0.5000 0.7513
Cu: 0.5000 0.5000 0.5000
Ni: 0.5000 0.5000 0.0000
Ni: 0.0000 0.0000 0.0000
Ni: 0.5000 0.0000 0.6177
Ni: 0.0000 0.5000 0.3823
Sb: 0.0000 0.0000 0.5000
Sb: 0.5000 0.0000 0.8685
Sb: 0.0000 0.5000 0.1315

Entry 3:
## La2CuNi3Sb4 (PBE-GGA)

Data for a relaxed La2CuNi3Sb4 crystal.

## Properties
Its raw total energy is -54.5 eV for the cell shown. The value obtained for the uncorrected formation energy is -6.74 eV per formula unit. As for the density of states at the Fermi level: 2.6 states/eV per cell.

Cell lengths 4.5474, 4.5474, 10.0771 Å; angles 90.00, 90.00, 90.00 degrees
Atoms (fractional coordinates):
La: 0.5000 0.0000 0.2579
La: 0.0000 0.5000 0.7421
Cu: 0.5000 0.5000 0.5000
Ni: 0.0000 0.0000 0.5000
Ni: 0.5000 0.0000 0.8809
Ni: 0.0000 0.5000 0.1191
Sb: 0.5000 0.5000 0.0000
Sb: 0.0000 0.0000 0.0000
Sb: 0.5000 0.0000 0.6301
Sb: 0.0000 0.5000 0.3699

Entry 4:
## La2Cu3NiSb4 (PBE-GGA)

Data for a relaxed La2Cu3NiSb4 crystal.

## Properties
Its raw total energy is -49.9 eV for the cell shown. The value obtained for the uncorrected formation energy is -5.52 eV per formula unit. As for the density of states at the Fermi level: 3.2 states/eV per cell.

Cell lengths 4.6009, 4.6009, 10.3143 Å; angles 90.00, 90.00, 90.00 degrees
Atoms (fractional coordinates):
La: 0.5000 0.0000 0.2658
La: 0.0000 0.5000 0.7342
Cu: 0.0000 0.0000 0.5000
Cu: 0.5000 0.0000 0.8685
Cu: 0.0000 0.5000 0.1315
Ni: 0.5000 0.5000 0.5000
Sb: 0.5000 0.5000 0.0000
Sb: 0.0000 0.0000 0.0000
Sb: 0.5000 0.0000 0.6231
Sb: 0.0000 0.5000 0.3769

Entry 5:
## La2ScCu12Ni3 (PBE-GGA)

Data for a relaxed La2ScCu12Ni3 crystal.

## Properties
The formation energy comes out at 0.42 eV/atom. Its raw total energy is -75.2 eV for the cell shown. As for the density of states at the Fermi level: 8.9 states/eV per cell.

Cell lengths 7.5823, 7.5823, 7.5823 Å; angles 62.90, 62.90, 62.90 degrees
Atoms (fractional coordinates):
La: 0.6061 0.6061 0.6061
La: 0.3939 0.3939 0.3939
Sc: 0.0000 0.0000 0.0000
Cu: 0.3528 0.3528 0.8819
Cu: 0.8610 0.8610 0.4004
Cu: 0.4004 0.8610 0.8610
Cu: 0.8819 0.3528 0.3528
Cu: 0.8610 0.4004 0.8610
Cu: 0.3528 0.8819 0.3528
Cu: 0.6472 0.6472 0.1181
Cu: 0.1390 0.1390 0.5996
Cu: 0.5996 0.1390 0.1390
Cu: 0.1181 0.6472 0.6472
Cu: 0.1390 0.5996 0.1390
Cu: 0.6472 0.1181 0.6472
Ni: 0.5000 0.0000 0.0000
Ni: 0.0000 0.5000 0.0000
Ni: 0.0000 0.0000 0.5000

Entry 6:
## La2ScCu3Ni12 (PBE-GGA)

Data for a relaxed La2ScCu3Ni12 crystal.

## Properties
The formation energy comes out at -0.01 eV/atom. Its raw total energy is -98.0 eV for the cell shown. As for the density of states at the Fermi level: 17.6 states/eV per cell.

Cell lengths 6.3714, 6.3714, 6.3714 Å; angles 83.38, 83.38, 83.38 degrees
Atoms (fractional coordinates):
La: 0.6913 0.6913 0.6913
La: 0.3087 0.3087 0.3087
Sc: 0.0000 0.0000 0.0000
Cu: 0.5000 0.0000 0.0000
Cu: 0.0000 0.5000 0.0000
Cu: 0.0000 0.0000 0.5000
Ni: 0.4039 0.4039 0.8698
Ni: 0.8017 0.8017 0.2855
Ni: 0.2855 0.8017 0.8017
Ni: 0.8698 0.4039 0.4039
Ni: 0.8017 0.2855 0.8017
Ni: 0.4039 0.8698 0.4039
Ni: 0.5961 0.5961 0.1302
Ni: 0.1983 0.1983 0.7145
Ni: 0.7145 0.1983 0.1983
Ni: 0.1302 0.5961 0.5961
Ni: 0.1983 0.7145 0.1983
Ni: 0.5961 0.1302 0.5961

Entry 7:
## LaSc2CuNi (PBE-GGA)

Data for a relaxed LaSc2CuNi crystal.

## Properties
The formation energy comes out at 1.44 eV/atom. Its raw total energy is -20.3 eV for the cell shown. As for the density of states at the Fermi level: 7.1 states/eV per cell.

Cell lengths 5.2143, 4.7829, 5.2143 Å; angles 90.00, 90.00, 90.00 degrees
Atoms (fractional coordinates):
Sc: 0.0000 0.0000 0.5000
Sc: 0.5000 0.0000 0.0000
Ni: 0.5000 0.5000 0.5000
Cu: 0.0000 0.5000 0.0000
La: 0.0000 0.0000 0.0000

Entry 8:
## LaCu2NiSe (PBE-GGA)

Data for a relaxed LaCu2NiSe crystal.

## Properties
Its raw total energy is -21.4 eV for the cell shown. The value obtained for the uncorrected formation energy is 0.96 eV per formula unit. As for the density of states at the Fermi level: 3.4 states/eV per cell.

Cell lengths 4.4570, 5.8301, 4.4570 Å; angles 90.00, 90.00, 90.00 degrees
Atoms (fractional coordinates):
Ni: 0.5000 0.5000 0.5000
Cu: 0.0000 0.0000 0.5000
Cu: 0.5000 0.0000 0.0000
Se: 0.0000 0.0000 0.0000
La: 0.0000 0.5000 0.0000

Entry 9:
## La2CuSi3Ni12 (PBE-GGA)

Data for a relaxed La2CuSi3Ni12 crystal.

## Properties
Its raw total energy is -101.1 eV for the cell shown. The value obtained for the uncorrected formation energy is -1.53 eV per formula unit. As for the density of states at the Fermi level: 11.4 states/eV per cell.

Cell lengths 6.3037, 6.3037, 6.3037 Å; angles 84.02, 84.02, 84.02 degrees
Atoms (fractional coordinates):
La: 0.6380 0.6380 0.6380
La: 0.3620 0.3620 0.3620
Cu: 0.0000 0.0000 0.0000
Si: 0.5000 0.0000 0.0000
Si: 0.0000 0.5000 0.0000
Si: 0.0000 0.0000 0.5000
Ni: 0.3784 0.3784 0.9131
Ni: 0.8139 0.8139 0.2994
Ni: 0.2994 0.8139 0.8139
Ni: 0.9131 0.3784 0.3784
Ni: 0.8139 0.2994 0.8139
Ni: 0.3784 0.9131 0.3784
Ni: 0.6216 0.6216 0.0869
Ni: 0.1861 0.1861 0.7006
Ni: 0.7006 0.1861 0.1861
Ni: 0.0869 0.6216 0.6216
Ni: 0.1861 0.7006 0.1861
Ni: 0.6216 0.0869 0.6216

Entry 10:
## La2Cu12SiNi3 (PBE-GGA)

Data for a relaxed La2Cu12SiNi3 crystal.

## Properties
Its raw total energy is -75.5 eV for the cell shown. The value obtained for the uncorrected formation energy is 6.23 eV per formula unit. As for the density of states at the Fermi level: 12.3 states/eV per cell.

Cell lengths 7.6717, 7.6717, 7.6717 Å; angles 62.04, 62.04, 62.04 degrees
Atoms (fractional coordinates):
La: 0.6130 0.6130 0.6130
La: 0.3870 0.3870 0.3870
Cu: 0.3438 0.3438 0.0154
Cu: 0.8858 0.8858 0.3465
Cu: 0.3465 0.8858 0.8858
Cu: 0.0154 0.3438 0.3438
Cu: 0.8858 0.3465 0.8858
Cu: 0.3438 0.0154 0.3438
Cu: 0.6562 0.6562 0.9846
Cu: 0.1142 0.1142 0.6535
Cu: 0.6535 0.1142 0.1142
Cu: 0.9846 0.6562 0.6562
Cu: 0.1142 0.6535 0.1142
Cu: 0.6562 0.9846 0.6562
Si: 0.0000 0.0000 0.0000
Ni: 0.5000 0.0000 0.0000
Ni: 0.0000 0.5000 0.0000
Ni: 0.0000 0.0000 0.5000

Entry 11:
## LaCuSiNi6 (PBE-GGA)

Data for a relaxed LaCuSiNi6 crystal.

## Properties
Its raw total energy is -101.2 eV for the cell shown. The value obtained for the uncorrected formation energy is -1.48 eV per formula unit. As for the density of states at the Fermi level: 14.4 states/eV per cell.

Cell lengths 7.4824, 5.0606, 8.1274 Å; angles 108.14, 117.41, 90.00 degrees
Atoms (fractional coordinates):
La: 0.7513 0.5013 0.5027
La: 0.2487 0.4987 0.4973
Cu: 0.5000 0.0000 0.5000
Cu: 0.0000 0.0000 0.5000
Si: 0.5000 0.5000 0.0000
Si: 0.5000 0.0000 0.0000
Ni: 0.6366 0.8866 0.2732
Ni: 0.0025 0.2525 0.0050
Ni: 0.8595 0.0901 0.1819
Ni: 0.3224 0.5918 0.1819
Ni: 0.3224 0.0901 0.1819
Ni: 0.8595 0.5918 0.1819
Ni: 0.3634 0.1134 0.7268
Ni: 0.9975 0.7475 0.9950
Ni: 0.1405 0.9099 0.8181
Ni: 0.6776 0.4082 0.8181
Ni: 0.6776 0.9099 0.8181
Ni: 0.1405 0.4082 0.8181

Entry 12:
## LaCuSi2Ni (PBE-GGA)

Data for a relaxed LaCuSi2Ni crystal.

## Properties
Its raw total energy is -29.1 eV for the cell shown. The value obtained for the uncorrected formation energy is -3.40 eV per formula unit. As for the density of states at the Fermi level: 2.0 states/eV per cell.

Cell lengths 5.6782, 5.6782, 5.6782 Å; angles 137.11, 137.11, 62.27 degrees
Atoms (fractional coordinates):
La: 0.0000 0.0000 0.0000
Cu: 0.2500 0.7500 0.5000
Si: 0.6273 0.6273 0.0000
Si: 0.3727 0.3727 0.0000
Ni: 0.7500 0.2500 0.5000

Number 8 is which compound?
LaCu2NiSe